Computed, not measured: crystalline Y2Ge2Os at its relaxed geometry at the PBE level of DFT.

formation energy = -658 meV per atom
space group = P4/mbm, No. 127
DFT total energy = -7.34 eV/atom
DOS at the Fermi energy = 5.7 states/eV/cell

Geometry as POSCAR:
```
Y2Ge2Os
1.0
-3.7873 -3.4992 -4.4078
-1.1511 -4.7190 4.7352
-3.5294 2.1729 1.3075
Y Ge Os
4 4 2
Cartesian
-3.2084 -2.7177 3.0789 Y
-5.2728 -5.1677 1.5779 Y
-5.2594 -3.3275 -1.4440 Y
-3.1949 -0.8775 0.0571 Y
-2.3821 -5.3659 2.4874 Ge
-4.0091 -6.0223 -0.8135 Ge
-2.5562 -2.8522 -2.1600 Ge
-0.9292 -2.1958 1.1409 Ge
0.0000 0.0000 0.0000 Os
-2.4692 -4.1091 0.1637 Os
```

---

Computed, not measured: crystalline MnCrSbRh at its relaxed geometry at the PBE level of DFT.

E_form (uncorrected) = -58.3 meV per atom
space group = F-43m, No. 216
DFT total energy = -7.62 eV/atom
DOS at the Fermi energy = 3.5 states/eV/cell

Geometry as POSCAR:
```
MnCrSbRh
1.0
-0.3875 3.5632 -2.6656
-3.2957 0.1903 -3.0089
-3.3837 2.8593 0.5716
Sb Mn Rh Cr
1 1 1 1
Cartesian
0.0000 0.0000 0.0000 Sb
-3.5335 3.3064 -2.5515 Mn
-5.3002 4.9596 -3.8272 Rh
-1.7667 1.6532 -1.2757 Cr
```

---

Computed, not measured: crystalline BeV2 at its relaxed geometry at the PBE level of DFT.

formation energy = 22 meV per atom
space group = I4/mmm, No. 139
DFT total energy = -7.30 eV/atom
DOS at the Fermi energy = 3.2 states/eV/cell

Geometry as POSCAR:
```
BeV2
1.0
-0.2117 2.8177 -1.1165
0.9880 -0.9939 -2.6957
-3.9828 -1.6031 0.8435
Be V
1 2
Cartesian
0.0000 0.0000 0.0000 Be
-0.7491 0.6932 -2.2423 V
-2.4575 -0.4725 -0.7264 V
```

---

Computed, not measured: crystalline Y2PbS at its relaxed geometry at the PBE level of DFT.

E_form (uncorrected) = -779.2 meV per atom
space group = Fm-3m, No. 225
DFT total energy = -5.97 eV/atom
DOS at the Fermi energy = 0.9 states/eV/cell

Geometry as POSCAR:
```
Y2PbS
1.0
0.0000 3.6978 3.6978
3.6978 0.0000 3.6978
3.6978 3.6978 0.0000
Pb Y S
1 2 1
Cartesian
3.6978 3.6978 3.6978 Pb
1.8489 1.8489 1.8489 Y
5.5468 5.5468 5.5468 Y
0.0000 0.0000 0.0000 S
```